Computed, not measured: crystalline FePRh at its relaxed geometry at the PBE level of DFT.

Cell and atoms, written as POSCAR:
```
FePRh
1.0
5.000 -0.001 0.001
4.206 2.704 0.007
0.794 0.226 2.695
Fe P Rh
1 1 1
Direct
0.028 0.028 0.972 Fe
0.652 0.652 0.348 P
0.320 0.320 0.680 Rh
```

Summary:
**DOS at the Fermi energy**: 2.2 states/eV per cell

Computed, not measured: crystalline FeP2Rh at its relaxed geometry at the PBE level of DFT.

Cell and atoms, written as POSCAR:
```
FeP2Rh
1.0
2.784 0.003 0.000
-0.003 2.784 0.000
0.000 0.000 7.374
Fe P Rh
1 2 1
Direct
0.500 0.500 0.767 Fe
0.000 0.000 0.922 P
0.500 0.500 0.311 P
0.000 0.000 0.500 Rh
```

Summary:
**DOS at the Fermi energy**: 3.5 states/eV per cell
**Relative energy among the computed polymorphs**: 27.54 kJ/mol of atoms

Computed, not measured: crystalline FePRh4 at its relaxed geometry at the PBE level of DFT.

Cell and atoms, written as POSCAR:
```
FePRh4
1.0
2.336 0.914 4.423
-2.298 2.819 3.553
-1.697 -2.179 4.270
Fe P Rh
1 1 4
Direct
0.750 0.750 0.750 Fe
0.000 0.000 0.000 P
0.875 0.375 0.375 Rh
0.375 0.375 0.875 Rh
0.375 0.875 0.375 Rh
0.375 0.375 0.375 Rh
```

Summary:
**DOS at the Fermi energy**: 6.3 states/eV per cell

Computed, not measured: crystalline FeP2Rh at its relaxed geometry at the PBE level of DFT.

Cell and atoms, written as POSCAR:
```
FeP2Rh
1.0
-1.084 -2.707 -3.218
2.610 -1.324 0.235
-1.506 -2.504 2.613
Fe P Rh
1 2 1
Direct
0.500 0.875 0.792 Fe
0.000 0.875 0.988 P
0.500 0.375 0.238 P
0.000 0.375 0.483 Rh
```

Summary:
**DOS at the Fermi energy**: 3.1 states/eV per cell
**Relative energy among the computed polymorphs**: 3.48 kJ/mol of atoms

Sequential ΔH_f (0 K) output: -0.24; -0.09; 0.52; -0.34 eV per atom